Compound: Nd2Er2Tm2In
Source: Alexandria via LeMat-Bulk
Functional: PBE
Structure: optimized geometry

Results
- Energy of formation from the pure elements: -0.0168 eV/atom

Lattice parameters (Å, degrees): 3.5042 6.1265 11.5753 111.92 90.00 106.62
With the nearest neighbours (Å) after each atom.
Sites, in units of the cell vectors:
Tm: 0.7480 0.4960 0.6312  2 In 3.23, 3 Nd 3.41-3.51, 4 Tm 3.50-3.52, 2 Er 3.51
Nd: 0.4709 0.9418 0.2429  2 In 3.35, 3 Tm 3.41-3.51, 2 Nd 3.50, 4 Er 3.52-3.66
Er: 0.3230 0.6459 0.9140  5 Er 3.50-3.85, 2 Tm 3.51, 4 Nd 3.52-3.66
Tm: 0.2520 0.5040 0.3688  2 In 3.23, 3 Nd 3.41-3.51, 4 Tm 3.50-3.52, 2 Er 3.51
Er: 0.6770 0.3541 0.0860  5 Er 3.50-3.85, 2 Tm 3.51, 4 Nd 3.52-3.66
Nd: 0.5291 0.0582 0.7571  2 In 3.35, 3 Tm 3.41-3.51, 2 Nd 3.50, 4 Er 3.52-3.66
In: 0.0000 0.0000 0.5000  4 Tm 3.23, 4 Nd 3.35, 2 In 3.50

Compound: Ni3PbAu
Source: Alexandria via LeMat-Bulk
Functional: PBE
Structure: optimized geometry

Results
- E above lowest polymorph: 0.0000 eV per atom
- Energy of formation from the pure elements: 0.9595 eV/atom

Lattice parameters (Å, degrees): 4.7188 4.7188 4.7188 90.00 90.00 90.00
With the nearest neighbours (Å) after each atom.
Sites, in units of the cell vectors:
Pb: 0.5000 0.5000 0.5000  12 Ni 3.34
Ni: 0.5000 0.0000 0.0000  2 Au 2.36
Au: 0.0000 0.0000 0.0000  6 Ni 2.36
Ni: 0.0000 0.5000 0.0000  2 Au 2.36
Ni: 0.0000 0.0000 0.5000  2 Au 2.36

Compound: BaHfCu2Te4
Source: Alexandria via LeMat-Bulk
Functional: PBE
Structure: optimized geometry

Results
- E_form (uncorrected): -0.64 eV/atom

Lattice parameters (Å, degrees): 6.8962 7.1424 7.1424 73.51 61.13 61.13
With the nearest neighbours (Å) after each atom.
Sites, in units of the cell vectors:
Cu: 0.8653 0.6347 0.6347  1 Cu 2.46, 2 Te 2.51
Te: 0.4527 0.1356 0.5080  1 Cu 2.51, 1 Hf 2.76
Cu: 0.1347 0.3653 0.3653  1 Cu 2.46, 2 Te 2.51
Te: 0.9037 0.5080 0.1356  1 Cu 2.51, 1 Hf 2.76
Hf: 0.5000 0.5000 0.5000  4 Te 2.76
Te: 0.0963 0.8644 0.4920  1 Cu 2.51, 1 Hf 2.76
Te: 0.5473 0.4920 0.8644  1 Cu 2.51, 1 Hf 2.76
Ba: 0.0000 0.0000 0.0000  8 Te 3.66-3.69

Compound: POs3W
Source: Alexandria via LeMat-Bulk
Functional: PBE
Structure: optimized geometry

Results
- E above lowest polymorph: 0.0000 eV per atom
- Energy of formation from the pure elements: 1.1599 eV/atom

Lattice parameters (Å, degrees): 4.3209 4.3209 4.3209 90.00 90.00 90.00
With the nearest neighbours (Å) after each atom.
Sites, in units of the cell vectors:
Os: 0.0000 0.5000 0.0000  2 P 2.16
W: 0.5000 0.5000 0.5000  12 Os 3.06
Os: 0.0000 0.0000 0.5000  2 P 2.16
P: 0.0000 0.0000 0.0000  6 Os 2.16
Os: 0.5000 0.0000 0.0000  2 P 2.16

Compound: PuZrPd6
Source: Alexandria via LeMat-Bulk
Functional: PBE
Structure: optimized geometry

Results
- Energy of formation from the pure elements: -0.6853 eV/atom

Lattice parameters (Å, degrees): 4.0887 4.0887 8.2173 90.00 90.00 90.00
With the nearest neighbours (Å) after each atom.
Sites, in units of the cell vectors:
Pd: 0.0000 0.5000 0.2607  2 Zr 2.84, 8 Pd 2.84-2.96, 2 Pu 2.96
Pd: 0.5000 0.0000 0.2607  8 Pd 2.84-2.96, 2 Zr 2.84, 2 Pu 2.96
Pd: 0.5000 0.5000 0.5000  8 Pd 2.84, 4 Zr 2.89
Pu: 0.0000 0.0000 0.0000  12 Pd 2.89-2.96
Zr: 0.0000 0.0000 0.5000  12 Pd 2.84-2.89
Pd: 0.5000 0.0000 0.7393  8 Pd 2.84-2.96, 2 Zr 2.84, 2 Pu 2.96
Pd: 0.0000 0.5000 0.7393  2 Zr 2.84, 8 Pd 2.84-2.96, 2 Pu 2.96
Pd: 0.5000 0.5000 0.0000  4 Pu 2.89, 8 Pd 2.96

Compound: RbTlHg2
Source: Alexandria via LeMat-Bulk
Functional: PBE
Structure: optimized geometry

Results
- E above lowest polymorph: 0.0120 eV per atom
- Energy of formation from the pure elements: -0.1363 eV/atom

Lattice parameters (Å, degrees): 4.1751 4.1751 7.9000 90.00 90.00 90.00
With the nearest neighbours (Å) after each atom.
Sites, in units of the cell vectors:
Hg: 0.0000 0.0000 0.7934  1 Hg 3.27, 4 Tl 3.37
Hg: 0.0000 0.0000 0.2066  1 Hg 3.27, 4 Tl 3.37
Tl: 0.5000 0.5000 0.0000  8 Hg 3.37
Rb: 0.5000 0.5000 0.5000  8 Hg 3.75, 2 Tl 3.95, 4 Rb 4.18

Question: What is the formula in the fifth record?
Answer: PuZrPd6